## ReSiP (PBE)

Data for a relaxed ReSiP crystal.

Unit cell a=6.208 b=6.304 c=6.081 alpha=128.42 beta=90.00 gamma=90.00
Atoms (fractional coordinates):
Re: 0.036 0.238 0.212
Re: 0.964 0.762 0.788
Re: 0.464 0.238 0.712
Re: 0.536 0.762 0.288
Si: 0.666 0.152 0.286
Si: 0.834 0.152 0.786
Si: 0.166 0.848 0.214
Si: 0.334 0.848 0.714
P: 0.592 0.660 0.834
P: 0.092 0.340 0.666
P: 0.908 0.660 0.334
P: 0.408 0.340 0.166

- final energy (eV/atom) = -7.839
- D(E_F) (states/eV/f.u.) = 1.6
- energy relative to the elements, uncorrected (meV per atom) = -78
- excess energy over the best structure of this formula in the dataset (kJ/mol of atoms) = 8.02